Material: Mn2SiSnO6
Method: DFT, PBE with a Hubbard U
State: optimized geometry Values from VASP.

Values from the calculation:
The space-group type is No. 146. The size of the total moment is 10.00 Bohr magnetons per cell. The calculation puts the total energy at -72.78 eV/cell.

```
&SYSTEM
  ibrav = 0, nat = 10, ntyp = 4
/
ATOMIC_SPECIES
Mn 54.94 Mn.upf
Si 28.09 Si.upf
Sn 118.71 Sn.upf
O 16.00 O.upf
CELL_PARAMETERS angstrom
5.251 0.001 0.000
2.625 4.548 0.002
2.626 1.514 4.458
ATOMIC_POSITIONS crystal
Mn 0.542 0.542 0.375
Mn 0.039 0.039 0.883
Si 0.317 0.317 0.049
Sn 0.814 0.814 0.558
O 0.564 0.193 0.260
O 0.193 0.983 0.260
O 0.983 0.564 0.260
O 0.443 0.659 0.790
O 0.659 0.108 0.790
O 0.108 0.443 0.790
```